Entry A
A plane-wave DFT calculation with GGA-PBE was carried out for crystalline Sr3As4Pt2 at its relaxed geometry.

For the volume, the calculation gives 429.79 Å³/cell. Its total moment is 0.000 μB/f.u.

The space group is C2/m (No. 12) and the conventional cell measures 11.518, 4.513 and 8.809 Å, with angles of 90.00, 110.16 and 90.00 degrees. Symmetry generates all atoms from Sr at (0.000, 0.000, 0.000), Sr at (0.120, 0.500, 0.683), As at (0.123, 0.000, 0.407), As at (0.221, 0.500, 0.062) and Pt at (0.174, 0.500, 0.323).

---

Entry B
A plane-wave DFT calculation with GGA-PBE was carried out for crystalline Sr3As4Pt2 at its relaxed geometry.

For the volume, the calculation gives 440.28 Å³/cell. Its total moment is 0.000 μB/f.u.

The space group is C2/m (No. 12) and the conventional cell measures 11.568, 4.464 and 8.604 Å, with angles of 90.00, 97.71 and 90.00 degrees. Symmetry generates all atoms from Sr at (0.000, 0.000, 0.000), Sr at (0.166, 0.500, 0.665), As at (0.053, 0.000, 0.378), As at (0.221, 0.500, 0.061) and Pt at (0.109, 0.500, 0.285).

---

Relative energy of each structure, in eV/atom: entry A 0.083; entry B 0.000.

---

Entry A
A plane-wave DFT calculation with GGA-PBE was carried out for crystalline SrAs3Pt at its relaxed geometry.

For the volume, the calculation gives 127.92 Å³/cell. Its total moment is 0.000 μB/f.u.

The space group is Pm-3m (No. 221) and the conventional cell measures 5.039, 5.039 and 5.039 Å, with angles of 90.00, 90.00 and 90.00 degrees. Symmetry generates all atoms from Sr at (0.000, 0.000, 0.000), As at (0.000, 0.500, 0.500) and Pt at (0.500, 0.500, 0.500).

---

Entry B
A plane-wave DFT calculation with GGA-PBE was carried out for crystalline SrAs3Pt at its relaxed geometry.

For the volume, the calculation gives 166.16 Å³/cell. Its total moment is 0.000 μB/f.u.

The space group is Pm-3m (No. 221) and the conventional cell measures 5.498, 5.498 and 5.498 Å, with angles of 90.00, 90.00 and 90.00 degrees. Symmetry generates all atoms from Sr at (0.000, 0.000, 0.000), As at (0.000, 0.000, 0.500) and Pt at (0.500, 0.500, 0.500).

---

Relative energy of each structure, in eV/atom: entry A 0.000; entry B 1.681.

---

Entry A
A plane-wave DFT calculation with GGA-PBE was carried out for crystalline Sr2AsPt2 at its relaxed geometry.

For the volume, the calculation gives 520.31 Å³/cell. Its total moment is 0.000 μB/f.u.

The space group is C2/m (No. 12) and the conventional cell measures 11.177, 4.423 and 11.405 Å, with angles of 90.00, 112.67 and 90.00 degrees. Symmetry generates all atoms from Sr at (0.102, 0.000, 0.398), Sr at (0.193, 0.500, 0.133), As at (0.076, 0.500, 0.819), Pt at (0.038, 0.000, 0.902) and Pt at (0.100, 0.500, 0.613).

---

Entry B
A plane-wave DFT calculation with GGA-PBE was carried out for crystalline Sr2AsPt2 at its relaxed geometry.

For the volume, the calculation gives 242.23 Å³/cell. Its total moment is 0.000 μB/f.u.

The space group is P4/mbm (No. 127) and the conventional cell measures 7.347, 7.347 and 4.487 Å, with angles of 90.00, 90.00 and 90.00 degrees. Symmetry generates all atoms from Sr at (0.178, 0.322, 0.000), As at (0.000, 0.000, 0.500) and Pt at (0.130, 0.630, 0.500).

---

Relative energy of each structure, in eV/atom: entry A 0.000; entry B 0.204.

---

Entry A
A plane-wave DFT calculation with GGA-PBE was carried out for crystalline TaAsPt3 at its relaxed geometry.

For the volume, the calculation gives 98.69 Å³/cell. Its total moment is 1.592 μB/f.u.

The space group is Pm-3m (No. 221) and the conventional cell measures 4.621, 4.621 and 4.621 Å, with angles of 90.00, 90.00 and 90.00 degrees. Symmetry generates all atoms from Ta at (0.000, 0.000, 0.000), As at (0.500, 0.500, 0.500) and Pt at (0.000, 0.500, 0.500).

---

Entry B
A plane-wave DFT calculation with GGA-PBE was carried out for crystalline TaAsPt3 at its relaxed geometry.

For the volume, the calculation gives 115.97 Å³/cell. Its total moment is 0.000 μB/f.u.

The space group is Pm-3m (No. 221) and the conventional cell measures 4.877, 4.877 and 4.877 Å, with angles of 90.00, 90.00 and 90.00 degrees. Symmetry generates all atoms from Ta at (0.000, 0.000, 0.000), As at (0.500, 0.500, 0.500) and Pt at (0.000, 0.000, 0.500).

---

Relative energy of each structure, in eV/atom: entry A 0.000; entry B 0.320.

---

Entry A
A plane-wave DFT calculation with GGA-PBE was carried out for crystalline TcAsPt3 at its relaxed geometry.

For the volume, the calculation gives 109.96 Å³/cell. Its total moment is 0.000 μB/f.u.

The space group is Pm-3m (No. 221) and the conventional cell measures 4.791, 4.791 and 4.791 Å, with angles of 90.00, 90.00 and 90.00 degrees. Symmetry generates all atoms from Tc at (0.000, 0.000, 0.000), As at (0.500, 0.500, 0.500) and Pt at (0.000, 0.000, 0.500).

---

Entry B
A plane-wave DFT calculation with GGA-PBE was carried out for crystalline TcAsPt3 at its relaxed geometry.

For the volume, the calculation gives 100.92 Å³/cell. Its total moment is 4.226 μB/f.u.

The space group is Pm-3m (No. 221) and the conventional cell measures 4.656, 4.656 and 4.656 Å, with angles of 90.00, 90.00 and 90.00 degrees. Symmetry generates all atoms from Tc at (0.000, 0.000, 0.000), As at (0.500, 0.500, 0.500) and Pt at (0.000, 0.500, 0.500).

---

Relative energy of each structure, in eV/atom: entry A 0.456; entry B 0.000.

---

Entry A
A plane-wave DFT calculation with GGA-PBE was carried out for crystalline TeAsPt2 at its relaxed geometry.

For the volume, the calculation gives 148.70 Å³/cell. Its total moment is 0.000 μB/f.u.

The space group is I-4m2 (No. 119) and the conventional cell measures 4.049, 4.049 and 9.072 Å, with angles of 90.00, 90.00 and 90.00 degrees. Symmetry generates all atoms from Te at (0.000, 0.000, 0.000), As at (0.000, 0.500, 0.750), Pt at (0.000, 0.000, 0.500) and Pt at (0.000, 0.500, 0.250).

---

Entry B
A plane-wave DFT calculation with GGA-PBE was carried out for crystalline TeAsPt2 at its relaxed geometry.

For the volume, the calculation gives 236.86 Å³/cell. Its total moment is 0.000 μB/f.u.

The space group is R-3m (No. 166, hexagonal axes) and the conventional cell measures 3.8588, 3.8588 and 18.3679 Å, with angles of 90.00, 90.00 and 120.00 degrees. Symmetry generates all atoms from Te at (0.0000, 0.0000, 0.0000), As at (0.0000, 0.0000, 0.5000) and Pt at (0.0000, 0.0000, 0.2389).

---

Relative energy of each structure, in eV/atom: entry A 0.311; entry B 0.000.